## PuBeAu3 (PBE)

Data for a relaxed structure of PuBeAu3.

Structure (extended XYZ):
```
5
Lattice="4.065 -0.001 1.405 -0.486 4.033 1.408 0.187 0.205 6.048" Properties=species:S:1:pos:R:3 pbc="T T T"
Pu 1.695 1.005 6.326
Be -0.154 3.501 5.101
Au 2.191 3.854 4.895
Au 0.399 1.840 3.488
Au 3.030 2.513 2.458
```

Calculated values
- Total magnetization: 1.142 μB per atom
- Distance to the lowest polymorph of the same formula: 0.000 eV per formula unit
- Calculated total energy: -5.907 eV/atom